--- i ---
First-principles (PBE with a Hubbard U) data for a relaxed Li4Cr3CoO8 crystal, as listed in Alexandria via LeMat-Bulk.

abc: 5.890 6.604 8.837
angles: 81.84 70.68 63.70
Sites, in units of the cell vectors:
1 Li 0.244 0.012 0.000
2 Li 0.246 0.249 0.247
3 Li 0.246 0.750 0.752
4 Li 0.256 0.508 0.497
5 Li 0.744 0.492 0.503
6 Li 0.754 0.250 0.248
7 Li 0.754 0.751 0.753
8 Li 0.756 0.988 0.000
9 Cr 0.002 0.749 0.249
10 Cr 0.497 0.252 0.751
11 Cr 0.500 0.000 0.500
12 Cr 0.500 0.500 0.000
13 Cr 0.503 0.748 0.249
14 Cr 0.998 0.251 0.751
15 Co 0.000 0.000 0.500
16 Co 0.000 0.500 0.000
17 O 0.124 0.227 0.508
18 O 0.124 0.486 0.764
19 O 0.126 0.729 0.007
20 O 0.134 0.983 0.257
21 O 0.361 0.271 0.993
22 O 0.368 0.016 0.743
23 O 0.371 0.515 0.242
24 O 0.381 0.760 0.491
25 O 0.619 0.240 0.509
26 O 0.629 0.485 0.758
27 O 0.632 0.984 0.257
28 O 0.639 0.729 0.007
29 O 0.866 0.017 0.743
30 O 0.874 0.271 0.993
31 O 0.876 0.514 0.236
32 O 0.876 0.773 0.492

* volume: 290.8 Å³/cell
* magnetic moment: 20.00 Bohr magnetons per cell
* ρ: 4.23 Mg/m³

---

--- ii ---
First-principles (PBE with a Hubbard U) data for a relaxed Li4Cr3CoO8 crystal, as listed in Alexandria via LeMat-Bulk.

abc: 5.082 5.118 5.869
angles: 106.57 90.03 99.47
Sites, in units of the cell vectors:
1 Li 0.238 0.497 0.378
2 Li 0.251 0.491 0.869
3 Li 0.749 0.509 0.131
4 Li 0.762 0.503 0.622
5 Cr 0.000 0.000 0.000
6 Cr 0.499 0.000 0.253
7 Cr 0.501 0.000 0.747
8 Co 0.000 0.000 0.500
9 O 0.125 0.776 0.201
10 O 0.127 0.778 0.688
11 O 0.361 0.223 0.555
12 O 0.372 0.227 0.057
13 O 0.628 0.773 0.943
14 O 0.639 0.777 0.445
15 O 0.873 0.222 0.312
16 O 0.875 0.224 0.799

* volume: 144.1 Å³/cell
* magnetic moment: 9.00 Bohr magnetons per cell
* density of states at the Fermi level: 0.00 states/eV per cell
* ρ: 4.27 Mg/m³

---

Least stable structure: i

---

--- i ---
First-principles (PBE with a Hubbard U) data for a relaxed Li2CrCo3O8 crystal, as listed in Alexandria via LeMat-Bulk.

abc: 5.750 5.750 5.940
angles: 119.48 119.48 60.60
Sites, in units of the cell vectors:
1 Li 0.000 0.000 0.000
2 Li 0.500 0.500 0.000
3 Cr 0.000 0.000 0.500
4 Co 0.000 0.500 0.500
5 Co 0.500 0.000 0.500
6 Co 0.500 0.500 0.500
7 O 0.228 0.730 0.712
8 O 0.245 0.245 0.704
9 O 0.264 0.264 0.307
10 O 0.270 0.772 0.288
11 O 0.730 0.228 0.712
12 O 0.736 0.736 0.693
13 O 0.755 0.755 0.296
14 O 0.772 0.270 0.288

* volume: 140.6 Å³/cell
* magnetic moment: 3.00 Bohr magnetons per cell
* ρ: 4.38 Mg/m³

---

--- ii ---
First-principles (PBE with a Hubbard U) data for a relaxed Li2CrCo3O8 crystal, as listed in Alexandria via LeMat-Bulk.

abc: 5.791 5.791 5.791
angles: 59.21 59.21 59.21
Sites, in units of the cell vectors:
1 Li 0.123 0.123 0.123
2 Li 0.877 0.877 0.877
3 Cr 0.500 0.500 0.500
4 Co 0.000 0.500 0.500
5 Co 0.500 0.000 0.500
6 Co 0.500 0.500 0.000
7 O 0.255 0.255 0.707
8 O 0.255 0.707 0.255
9 O 0.263 0.263 0.263
10 O 0.293 0.745 0.745
11 O 0.707 0.255 0.255
12 O 0.737 0.737 0.737
13 O 0.745 0.293 0.745
14 O 0.745 0.745 0.293

* volume: 134.8 Å³/cell
* magnetic moment: 1.00 Bohr magnetons per cell
* density of states at the Fermi level: 3.95 states/eV per cell
* ρ: 4.57 Mg/m³

---

Least stable structure: i